1.
K3SrTl8: optimized geometry, PBE-GGA.

Summary:
uncorrected energy = -25.75 eV/f.u.
calculated volume = 34.1 A^3/atom

The structure in POSCAR format:
```
K3SrTl8
1.0
6.6528 0.0000 0.0000
-3.3264 5.7615 0.0000
0.0000 0.0000 10.6889
K Sr Tl
3 1 8
Cartesian
0.0000 0.0000 0.0000
0.0000 0.0000 3.9117
0.0000 3.8410 9.4073
0.0000 3.8410 5.3952
-1.6209 2.9052 2.0562
1.6434 0.9488 7.2966
1.6209 2.9052 2.0562
0.0000 5.7126 2.0562
3.3264 1.9205 4.6278
3.3264 1.9205 10.1014
5.0094 0.9488 7.2966
3.3264 3.8639 7.2966
```

2.
K2SrTl: optimized geometry, PBE-GGA.

Summary:
uncorrected energy = -6.14 eV/f.u.
calculated volume = 46.7 A^3/atom

The structure in POSCAR format:
```
K2SrTl
1.0
4.2754 0.0000 0.0000
0.0000 6.9129 0.0000
-0.5706 0.0000 6.3192
K Sr Tl
2 1 1
Cartesian
0.7652 0.0000 1.7050
2.9397 0.0000 4.6142
2.1377 3.4564 0.0000
-0.2853 3.4564 3.1596
```

3.
K2SrTl: optimized geometry, PBE-GGA.

Summary:
uncorrected energy = -5.90 eV/f.u.
calculated volume = 52.2 A^3/atom

The structure in POSCAR format:
```
K2SrTl
1.0
-5.4539 5.4539 3.5128
5.4539 -5.4539 3.5128
5.4539 5.4539 -3.5128
K Sr Tl
4 2 2
Cartesian
8.1808 2.0359 -0.8782
2.0359 2.7269 0.8782
-2.7269 3.4179 2.6346
3.4179 2.7269 4.3911
5.4539 0.0000 1.7564
0.0000 0.0000 3.5128
0.0000 0.0000 0.0000
0.0000 5.4539 1.7564
```